DFT (GGA-PBE) results for a relaxed Hf7Zn2Fe2 crystal.

POSCAR file:
```
Hf7Zn2Fe2
1.0
-0.432 -6.059 -0.567
5.942 -0.235 -2.020
1.968 1.205 5.647
Fe Hf Zn
2 7 2
Direct
0.288 0.000 0.712
0.712 0.000 0.288
0.000 0.748 0.500
0.500 0.250 0.500
0.500 0.748 0.000
0.500 0.252 0.000
0.000 0.000 0.000
0.500 0.750 0.500
0.000 0.252 0.500
0.170 0.500 0.170
0.830 0.500 0.830
```

E_form, eV per atom: 0.0724
Symmetry: Cmmm (65)